Below is crystalline Cu7Pt4Au at its relaxed geometry, with properties calculated at the PBE-GGA level.

Values from the calculation:
Fermi-level density of states: 7.0 states/eV per cell
ΔE_f: -0.0906 eV per atom
E_tot: -57.20 eV/f.u.

abc: 2.7483 2.7483 25.6526
angles: 90.00 90.00 120.00
Space group P-3m1 (No. 164)
Unique sites:
Cu  0.0000  0.0000  0.0000 [1 per cell]
Cu  0.0000  0.0000  0.2446 [2 per cell]
Cu  0.3333  0.6667  0.1681 [2 per cell]
Cu  0.3333  0.6667  0.4125 [2 per cell]
Pt  0.3333  0.6667  0.6711 [2 per cell]
Pt  0.3333  0.6667  0.9161 [2 per cell]
Au  0.0000  0.0000  0.5000 [1 per cell]